This record from Alexandria via LeMat-Bulk describes crystalline Y2ZrTl at its relaxed geometry. The functional is PBE.

Summary:
crystal system	trigonal
E_form	-0.079	eV/atom
final energy	-6.04	eV/atom
ΔE to the lowest computed polymorph	56	meV/atom

Unit cell a=3.5097 b=3.5097 c=31.7214 alpha=90.00 beta=90.00 gamma=120.00
Space group R3m (No. 160, hexagonal axes)
Inequivalent atoms, fractional coordinates:
Y 0.0000 0.0000 0.0000 [3 per cell]
Y 0.0000 0.0000 0.1657 [3 per cell]
Zr 0.0000 0.0000 0.7498 [3 per cell]
Tl 0.0000 0.0000 0.5830 [3 per cell]